Entry 1:
Compound: InAuSe2
Source: the Alexandria database
Functional: PBE-GGA
Structure: optimized geometry

Values from the calculation:
- Uncorrected formation energy: 0.05 eV/atom
- Density: 8.31 g/cm³
- E: -25.5 eV per cell

Structure (POSCAR):
```
InAuSe2
1.0
1.435 -10.879 0.000
1.435 10.879 0.000
0.000 0.000 6.008
Au Se In
2 4 2
direct
0.682 0.318 0.750
0.318 0.682 0.250
0.928 0.072 0.250
0.800 0.200 0.750
0.200 0.800 0.250
0.072 0.928 0.750
0.067 0.933 0.250
0.933 0.067 0.750
```


Entry 2:
Compound: InAuSe2
Source: the Alexandria database
Functional: PBE-GGA
Structure: optimized geometry

Values from the calculation:
- Uncorrected formation energy: 0.05 eV/atom
- Density: 8.44 g/cm³
- E: -25.6 eV per cell

Structure (POSCAR):
```
InAuSe2
1.0
7.173 0.000 0.000
0.000 7.173 0.000
3.586 3.586 3.591
Se In Au
4 2 2
direct
0.810 0.310 0.000
0.190 0.690 0.000
0.690 0.810 0.000
0.310 0.190 0.000
0.250 0.250 0.500
0.750 0.750 0.500
0.750 0.250 0.500
0.250 0.750 0.500
```


Question: Which value of E does entry 1 give?
Answer: -25.5 eV per cell


Question: Number 2 is which compound?
Answer: InAuSe2